Version i
La2SmAg: optimized geometry, PBE.

Unit cell a=10.9157 b=10.9157 c=10.9157 alpha=19.82 beta=19.82 gamma=19.82
Last column: nearest neighbours and their distance in Å.
Sites, in units of the cell vectors:
La (0.0000, 0.0000, 0.0000)  3 Ag 3.22
La (0.1840, 0.1840, 0.1840)  3 Ag 3.25
Sm (0.4247, 0.4247, 0.4247)  6 La 3.65-3.68, 6 Sm 3.76
Ag (0.5927, 0.5927, 0.5927)  6 La 3.22-3.25

## Properties
Volume   131 Å³/cell
SG   R3m, No. 160
Spin magnetization   0.0 Bohr magnetons per cell



Version ii
La2SmAg: optimized geometry, PBE.

Unit cell a=6.4271 b=6.4271 c=6.8922 alpha=96.27 beta=96.27 gamma=61.16
Last column: nearest neighbours and their distance in Å.
Sites, in units of the cell vectors:
La (0.2169, 0.2235, 0.0750)  2 Ag 3.17-3.37, 1 Sm 3.37, 3 La 3.45-3.48
La (0.2235, 0.2169, 0.5750)  2 Ag 3.17-3.37, 1 Sm 3.37, 3 La 3.45-3.48
La (0.7765, 0.7831, 0.4250)  2 Ag 3.17-3.37, 1 Sm 3.37, 3 La 3.45-3.48
La (0.7831, 0.7765, 0.9250)  2 Ag 3.17-3.37, 1 Sm 3.37, 3 La 3.45-3.48
Sm (0.3315, 0.6685, 0.7500)  1 Ag 3.01, 2 La 3.37
Sm (0.6685, 0.3315, 0.2500)  1 Ag 3.01, 2 La 3.37
Ag (0.2083, 0.7917, 0.2500)  1 Sm 3.01, 2 La 3.17
Ag (0.7917, 0.2083, 0.7500)  1 Sm 3.01, 2 La 3.17

## Properties
Volume   247 Å³/cell
SG   C2/c, No. 15
Spin magnetization   0.0 Bohr magnetons per cell



Version iii
La2SmAg: optimized geometry, PBE.

Unit cell a=7.2067 b=10.8089 c=6.6345 alpha=90.00 beta=90.00 gamma=90.00
Last column: nearest neighbours and their distance in Å.
Sites, in units of the cell vectors:
La (0.1962, 0.0448, 0.1641)  2 Ag 3.12-3.14
La (0.1962, 0.4552, 0.1641)  2 Ag 3.12-3.14
La (0.3038, 0.5448, 0.6641)  2 Ag 3.12-3.14
La (0.3038, 0.9552, 0.6641)  2 Ag 3.12-3.14
La (0.6962, 0.0448, 0.3359)  2 Ag 3.12-3.14
La (0.6962, 0.4552, 0.3359)  2 Ag 3.12-3.14
La (0.8038, 0.5448, 0.8359)  2 Ag 3.12-3.14
La (0.8038, 0.9552, 0.8359)  2 Ag 3.12-3.14
Sm (0.0188, 0.2500, 0.6392)  2 Ag 3.09-3.10
Sm (0.4812, 0.7500, 0.1392)  2 Ag 3.09-3.10
Sm (0.5188, 0.2500, 0.8608)  2 Ag 3.09-3.10
Sm (0.9812, 0.7500, 0.3608)  2 Ag 3.09-3.10
Ag (0.1041, 0.7500, 0.9144)  2 Sm 3.09-3.10, 4 La 3.12-3.14
Ag (0.3959, 0.2500, 0.4144)  2 Sm 3.09-3.10, 4 La 3.12-3.14
Ag (0.6041, 0.7500, 0.5856)  2 Sm 3.09-3.10, 4 La 3.12-3.14
Ag (0.8959, 0.2500, 0.0856)  2 Sm 3.09-3.10, 4 La 3.12-3.14

## Properties
Volume   517 Å³/cell
SG   Pnma, No. 62
Spin magnetization   0.0 Bohr magnetons per cell



Stability check: which of them is most stable? version iii.



Version i
La2SmAg: optimized geometry, PBE.

Unit cell a=3.7988 b=3.7988 c=8.8153 alpha=90.00 beta=90.00 gamma=90.00
Last column: nearest neighbours and their distance in Å.
Sites, in units of the cell vectors:
La (0.0000, 0.0000, 0.2184)  4 Ag 3.30, 4 Sm 3.66
La (0.0000, 0.0000, 0.7816)  4 Ag 3.30, 4 Sm 3.66
Sm (0.5000, 0.5000, 0.5000)  8 La 3.66, 4 Sm 3.80
Ag (0.5000, 0.5000, 0.0000)  8 La 3.30

## Properties
Volume   127 Å³/cell
SG   P4/mmm, No. 123
Spin magnetization   0.0 Bohr magnetons per cell



Version ii
La2SmAg: optimized geometry, PBE.

Unit cell a=5.5975 b=5.5975 c=5.5975 alpha=60.00 beta=60.00 gamma=60.00
Last column: nearest neighbours and their distance in Å.
Sites, in units of the cell vectors:
La (0.2500, 0.2500, 0.2500)  4 Sm 3.43, 4 Ag 3.43
La (0.7500, 0.7500, 0.7500)  4 Sm 3.43, 4 Ag 3.43
Sm (0.0000, 0.0000, 0.0000)  8 La 3.43
Ag (0.5000, 0.5000, 0.5000)  8 La 3.43

## Properties
Volume   124 Å³/cell
SG   Fm-3m, No. 225
Spin magnetization   0.0 Bohr magnetons per cell



Stability check: which of them is most stable? version i.



Version i
LaSmAg: optimized geometry, PBE.

Unit cell a=7.4755 b=3.7208 c=12.8842 alpha=90.00 beta=90.00 gamma=90.00
Last column: nearest neighbours and their distance in Å.
Sites, in units of the cell vectors:
La (0.1297, 0.2500, 0.0954)  4 Ag 3.27-3.34, 2 La 3.64
La (0.3703, 0.7500, 0.5954)  4 Ag 3.27-3.34, 2 La 3.64
La (0.6297, 0.2500, 0.4046)  4 Ag 3.27-3.34, 2 La 3.64
La (0.8703, 0.7500, 0.9046)  4 Ag 3.27-3.34, 2 La 3.64
Sm (0.1195, 0.2500, 0.3905)  4 Ag 3.17-3.23
Sm (0.3805, 0.7500, 0.8905)  4 Ag 3.17-3.23
Sm (0.6195, 0.2500, 0.1095)  4 Ag 3.17-3.23
Sm (0.8805, 0.7500, 0.6095)  4 Ag 3.17-3.23
Ag (0.1254, 0.2500, 0.7577)  4 Sm 3.17-3.23, 4 La 3.27-3.34
Ag (0.3746, 0.7500, 0.2577)  4 Sm 3.17-3.23, 4 La 3.27-3.34
Ag (0.6254, 0.2500, 0.7423)  4 Sm 3.17-3.23, 4 La 3.27-3.34
Ag (0.8746, 0.7500, 0.2423)  4 Sm 3.17-3.23, 4 La 3.27-3.34

## Properties
Volume   358 Å³/cell
SG   Pnma, No. 62
Spin magnetization   0.7 Bohr magnetons per cell



Version ii
LaSmAg: optimized geometry, PBE.

Unit cell a=5.1482 b=5.1482 c=3.7897 alpha=90.00 beta=90.00 gamma=120.00
Last column: nearest neighbours and their distance in Å.
Sites, in units of the cell vectors:
La (0.0000, 0.0000, 0.0000)  3 Ag 3.24, 3 Sm 3.36
Sm (0.6667, 0.3333, 0.5847)  3 Ag 3.11, 3 La 3.36
Ag (0.3333, 0.6667, 0.3429)  3 Sm 3.11, 3 La 3.24

## Properties
Volume   87 Å³/cell
SG   P3m1, No. 156
Spin magnetization   0.0 Bohr magnetons per cell



Stability check: which of them is most stable? version i.



Version i
La6SmAg2: optimized geometry, PBE.

Unit cell a=9.7851 b=9.7851 c=6.3287 alpha=93.71 beta=93.71 gamma=73.22
Last column: nearest neighbours and their distance in Å.
Sites, in units of the cell vectors:
La (0.0634, 0.8221, 0.9974)  3 Ag 3.17-3.50, 4 La 3.33-3.54
La (0.1490, 0.3921, 0.1724)  3 Ag 3.29-3.38, 2 La 3.43-3.67, 1 Sm 3.60
La (0.1779, 0.9366, 0.5026)  3 Ag 3.17-3.50, 4 La 3.33-3.54
La (0.2330, 0.5420, 0.6936)  2 Ag 3.20-3.51, 2 La 3.33-3.55, 2 Sm 3.48-3.51
La (0.3921, 0.1490, 0.6724)  3 Ag 3.29-3.38, 2 La 3.43-3.67, 1 Sm 3.60
La (0.4580, 0.7670, 0.8064)  2 Ag 3.20-3.51, 2 La 3.33-3.55, 2 Sm 3.48-3.51
La (0.5420, 0.2330, 0.1936)  2 Ag 3.20-3.51, 2 La 3.33-3.55, 2 Sm 3.48-3.51
La (0.6079, 0.8510, 0.3276)  3 Ag 3.29-3.38, 2 La 3.43-3.67, 1 Sm 3.60
La (0.7670, 0.4580, 0.3064)  2 Ag 3.20-3.51, 2 La 3.33-3.55, 2 Sm 3.48-3.51
La (0.8221, 0.0634, 0.4974)  3 Ag 3.17-3.50, 4 La 3.33-3.54
La (0.8510, 0.6079, 0.8276)  3 Ag 3.29-3.38, 2 La 3.43-3.67, 1 Sm 3.60
La (0.9366, 0.1779, 0.0026)  3 Ag 3.17-3.50, 4 La 3.33-3.54
Sm (0.3951, 0.6049, 0.2500)  10 La 3.48-3.85
Sm (0.6049, 0.3951, 0.7500)  10 La 3.48-3.85
Ag (0.0351, 0.2951, 0.6000)  8 La 3.17-3.51
Ag (0.2951, 0.0351, 0.1000)  8 La 3.17-3.51
Ag (0.7049, 0.9649, 0.9000)  8 La 3.17-3.51
Ag (0.9649, 0.7049, 0.4000)  8 La 3.17-3.51

## Properties
Volume   578 Å³/cell
SG   C2/c, No. 15
Spin magnetization   0.0 Bohr magnetons per cell



Version ii
La6SmAg2: optimized geometry, PBE.

Unit cell a=6.7874 b=6.7874 c=12.2788 alpha=106.96 beta=106.96 gamma=32.79
Last column: nearest neighbours and their distance in Å.
Sites, in units of the cell vectors:
La (0.0270, 0.0270, 0.3319)  2 Ag 3.25, 1 La 3.53
La (0.3115, 0.3115, 0.4077)  2 Ag 3.48, 10 La 3.52-3.83
La (0.3167, 0.3167, 0.1228)  2 Ag 3.26, 3 La 3.52-3.55
La (0.6833, 0.6833, 0.8772)  2 Ag 3.26, 3 La 3.52-3.55
La (0.6885, 0.6885, 0.5923)  2 Ag 3.48, 10 La 3.52-3.83
La (0.9730, 0.9730, 0.6681)  2 Ag 3.25, 1 La 3.53
Sm (0.0000, 0.0000, 0.0000)  4 Ag 3.14
Ag (0.3577, 0.3577, 0.8107)  2 Sm 3.14, 6 La 3.25-3.48
Ag (0.6423, 0.6423, 0.1893)  2 Sm 3.14, 6 La 3.25-3.48

## Properties
Volume   292 Å³/cell
SG   C2/m, No. 12
Spin magnetization   0.0 Bohr magnetons per cell



Stability check: which of them is most stable? version ii.



Version i
LaSmTmAg: optimized geometry, PBE.

Unit cell a=5.4899 b=5.4899 c=5.4899 alpha=60.00 beta=60.00 gamma=60.00
Last column: nearest neighbours and their distance in Å.
Sites, in units of the cell vectors:
La (0.0000, 0.0000, 0.0000)  4 Ag 3.36, 4 Tm 3.36
Sm (0.5000, 0.5000, 0.5000)  4 Ag 3.36, 4 Tm 3.36
Tm (0.2500, 0.2500, 0.2500)  4 La 3.36, 4 Sm 3.36
Ag (0.7500, 0.7500, 0.7500)  4 La 3.36, 4 Sm 3.36

## Properties
Volume   117 Å³/cell
SG   F-43m, No. 216
Spin magnetization   0.0 Bohr magnetons per cell



Version ii
LaSmTmAg: optimized geometry, PBE.

Unit cell a=3.6662 b=3.6662 c=8.7636 alpha=90.00 beta=90.00 gamma=90.00
Last column: nearest neighbours and their distance in Å.
Sites, in units of the cell vectors:
La (0.0000, 0.0000, 0.0000)  4 Tm 3.64, 4 La 3.67, 4 Sm 3.68
Sm (0.5000, 0.5000, 0.7012)  4 Ag 3.24, 1 Tm 3.59
Tm (0.5000, 0.5000, 0.2917)  4 Ag 3.07
Ag (0.0000, 0.0000, 0.4795)  4 Tm 3.07, 4 Sm 3.24

## Properties
Volume   118 Å³/cell
SG   P4mm, No. 99
Spin magnetization   0.0 Bohr magnetons per cell



Stability check: which of them is most stable? version ii.



Version i
La2AgSn3: optimized geometry, PBE.

Unit cell a=4.3425 b=4.8727 c=8.1413 alpha=90.00 beta=90.00 gamma=90.00
Last column: nearest neighbours and their distance in Å.
Sites, in units of the cell vectors:
La (0.0000, 0.0000, 0.0000)  8 Sn 3.41-3.48, 4 Ag 3.59
La (0.0000, 0.5000, 0.4865)  2 Ag 3.46, 10 Sn 3.50-3.61
Ag (0.5000, 0.5000, 0.8169)  3 Sn 2.69-2.70
Sn (0.5000, 0.0000, 0.3298)  3 Sn 2.82-2.85
Sn (0.5000, 0.0000, 0.6763)  2 Ag 2.69, 1 Sn 2.82
Sn (0.5000, 0.5000, 0.1479)  1 Ag 2.70, 2 Sn 2.85

## Properties
Volume   172 Å³/cell
SG   Pmm2, No. 25
Spin magnetization   0.0 Bohr magnetons per cell



Version ii
La2AgSn3: optimized geometry, PBE.

Unit cell a=6.3633 b=6.3633 c=7.6356 alpha=125.97 beta=125.97 gamma=44.05
Last column: nearest neighbours and their distance in Å.
Sites, in units of the cell vectors:
La (0.0000, 0.0000, 0.0000)  7 Sn 3.32-3.47, 3 Ag 3.44-3.55
La (0.1094, 0.1094, 0.6185)  8 Sn 3.36-3.59, 3 Ag 3.61-3.73
Ag (0.7241, 0.7241, 0.4029)  4 Sn 2.79-2.94
Sn (0.3798, 0.3798, 0.5853)  2 Ag 2.79
Sn (0.4216, 0.4216, 0.2110)  1 Ag 2.87, 3 Sn 3.05-3.19
Sn (0.7134, 0.7134, 0.0073)  1 Ag 2.94, 3 Sn 3.05-3.13

## Properties
Volume   166 Å³/cell
SG   Cm, No. 8
Spin magnetization   0.0 Bohr magnetons per cell



Stability check: which of them is most stable? version ii.



Version i
LaAg3Sn: optimized geometry, PBE.

Unit cell a=4.6186 b=4.6198 c=6.5685 alpha=110.42 beta=110.51 gamma=90.18
Last column: nearest neighbours and their distance in Å.
Sites, in units of the cell vectors:
La (0.0000, 0.0000, 0.0000)  4 Sn 3.49-3.51, 12 Ag 3.55-3.74
Ag (0.2409, 0.7436, 0.4861)  2 Sn 2.77, 2 Ag 2.77
Ag (0.3789, 0.3770, 0.7545)  1 Sn 2.65, 4 Ag 2.77
Ag (0.7445, 0.2425, 0.4860)  2 Sn 2.77, 2 Ag 2.77
Sn (0.6074, 0.6097, 0.2191)  5 Ag 2.65-2.77

## Properties
Volume   122 Å³/cell
SG   P1, No. 1
Spin magnetization   0.0 Bohr magnetons per cell



Version ii
LaAg3Sn: optimized geometry, PBE.

Unit cell a=5.1757 b=5.1757 c=5.1757 alpha=90.00 beta=90.00 gamma=90.00
Last column: nearest neighbours and their distance in Å.
Sites, in units of the cell vectors:
La (0.0000, 0.0000, 0.0000)  12 Ag 3.66
Ag (0.0000, 0.5000, 0.5000)  2 Sn 2.59
Ag (0.5000, 0.0000, 0.5000)  2 Sn 2.59
Ag (0.5000, 0.5000, 0.0000)  2 Sn 2.59
Sn (0.5000, 0.5000, 0.5000)  6 Ag 2.59

## Properties
Volume   139 Å³/cell
SG   Pm-3m, No. 221
Spin magnetization   0.2 Bohr magnetons per cell



Stability check: which of them is most stable? version i.



Version i
LaAgSn3: optimized geometry, PBE.

Unit cell a=12.6775 b=12.6775 c=4.6185 alpha=90.00 beta=90.00 gamma=158.07
Last column: nearest neighbours and their distance in Å.
Sites, in units of the cell vectors:
La (0.1675, 0.8325, 0.0000)  10 Sn 3.57-3.66, 4 Ag 3.57
La (0.8325, 0.1675, 0.0000)  10 Sn 3.57-3.66, 4 Ag 3.57
Ag (0.3838, 0.6162, 0.5000)  5 Sn 2.63-2.81
Ag (0.6162, 0.3838, 0.5000)  5 Sn 2.63-2.81
Sn (0.0582, 0.9418, 0.5000)  2 Ag 2.81, 1 Sn 2.90
Sn (0.2782, 0.7218, 0.5000)  1 Ag 2.63, 2 Sn 2.79
Sn (0.4431, 0.5569, 0.0000)  2 Ag 2.74, 1 Sn 2.83
Sn (0.5569, 0.4431, 0.0000)  2 Ag 2.74, 1 Sn 2.83
Sn (0.7218, 0.2782, 0.5000)  1 Ag 2.63, 2 Sn 2.79
Sn (0.9418, 0.0582, 0.5000)  2 Ag 2.81, 1 Sn 2.90

## Properties
Volume   277 Å³/cell
SG   Cmmm, No. 65
Spin magnetization   0.0 Bohr magnetons per cell



Version ii
LaAgSn3: optimized geometry, PBE.

Unit cell a=5.3514 b=5.3514 c=5.3514 alpha=90.00 beta=90.00 gamma=90.00
Last column: nearest neighbours and their distance in Å.
Sites, in units of the cell vectors:
La (0.0000, 0.0000, 0.0000)  12 Sn 3.78
Ag (0.5000, 0.5000, 0.5000)  6 Sn 2.68
Sn (0.0000, 0.5000, 0.5000)  2 Ag 2.68
Sn (0.5000, 0.0000, 0.5000)  2 Ag 2.68
Sn (0.5000, 0.5000, 0.0000)  2 Ag 2.68

## Properties
Volume   153 Å³/cell
SG   Pm-3m, No. 221
Spin magnetization   0.0 Bohr magnetons per cell



Version iii
LaAgSn3: optimized geometry, PBE.

Unit cell a=6.0324 b=6.0324 c=6.0324 alpha=90.00 beta=90.00 gamma=90.00
Last column: nearest neighbours and their distance in Å.
Sites, in units of the cell vectors:
La (0.0000, 0.0000, 0.0000)  6 Sn 3.02
Ag (0.5000, 0.5000, 0.5000)  12 Sn 4.27
Sn (0.0000, 0.0000, 0.5000)  2 La 3.02
Sn (0.0000, 0.5000, 0.0000)  2 La 3.02
Sn (0.5000, 0.0000, 0.0000)  2 La 3.02

## Properties
Volume   220 Å³/cell
SG   Pm-3m, No. 221
Spin magnetization   0.0 Bohr magnetons per cell



Stability check: which of them is most stable? version i.